Entry 1:
A plane-wave DFT calculation with PBE was carried out for an optimized crystal structure of Tl2Cu.

a b c (Å): 4.422 4.422 4.510
angles (deg): 90.00 90.00 120.00
Atoms (fractional coordinates):
Tl 0.333 0.667 0.270
Tl 0.667 0.333 0.730
Cu 0.000 0.000 0.000

Its formation energy is 0.2772 eV per atom. Its final energy is -2.666 eV/atom.

---

Entry 2:
A plane-wave DFT calculation with PBE was carried out for an optimized crystal structure of Tl4Cu.

a b c (Å): 5.841 5.841 5.841
angles (deg): 99.58 99.58 131.86
Atoms (fractional coordinates):
Tl 0.106 0.709 0.816
Tl 0.291 0.106 0.397
Tl 0.709 0.894 0.603
Tl 0.894 0.291 0.184
Cu 0.500 0.500 0.000

Its formation energy is 0.2376 eV per atom. The value obtained for the energy above the most stable polymorph in this dataset is 82 meV per atom. Its final energy is -2.475 eV/atom.